Compound: Rb2GeSb
Source: Alexandria via LeMat-Bulk
Functional: PBE
Structure: relaxed

For the volume, the calculation gives 185.34 Å³/f.u. Its total moment is 0.00 μB/f.u. The calculation puts the total energy at -2.75 eV/atom. The energy above the most stable polymorph in this dataset is 0.005 eV/atom. For the uncorrected formation energy, the calculation gives -0.31 eV/f.u.

The structure belongs to space group P2_1/c (No. 14); the cell edges are 11.850, 6.876 and 9.807 Å and the angles 90.00°, 111.90° and 90.00°. Symmetry generates all atoms from Rb at (0.183, 0.215, 0.106), Rb at (0.262, 0.668, 0.361), Ge at (0.411, 0.117, 0.470) and Sb at (0.484, 0.693, 0.723).



Compound: Pm6Ho3Er2In
Source: Alexandria via LeMat-Bulk
Functional: PBE
Structure: relaxed

For the volume, the calculation gives 380.54 Å³/f.u. Its total moment is 0.00 μB/f.u. The calculation puts the total energy at -4.54 eV/atom. Its calculated formation energy is -0.03 eV/atom.

The structure belongs to space group C2/m (No. 12); the cell edges are 6.166, 10.695 and 11.726 Å and the angles 90.00°, 100.18° and 90.00°. Symmetry generates all atoms from Pm at (0.245, 0.000, 0.251), Pm at (0.246, 0.164, 0.747), Ho at (0.000, 0.168, 0.000), Ho at (0.000, 0.500, 0.000), Er at (0.000, 0.333, 0.500) and In at (0.000, 0.000, 0.500).



Compound: La3Sm2Ga3
Source: Alexandria via LeMat-Bulk
Functional: PBE
Structure: relaxed

For the volume, the calculation gives 229.42 Å³/f.u. Its total moment is 0.00 μB/f.u. The calculation puts the total energy at -4.58 eV/atom. Its calculated formation energy is -0.42 eV/atom.

The structure belongs to space group Immm (No. 71); the cell edges are 3.802, 5.388 and 22.399 Å and the angles 90.00°, 90.00° and 90.00°. Symmetry generates all atoms from La at (0.000, 0.000, 0.000), La at (0.000, 0.500, 0.117), Sm at (0.000, 0.000, 0.228), Ga at (0.000, 0.000, 0.500) and Ga at (0.000, 0.500, 0.380).



Compound: Zr3Ti2Zn
Source: Alexandria via LeMat-Bulk
Functional: PBE
Structure: relaxed

For the volume, the calculation gives 119.30 Å³/f.u. Its total moment is 0.00 μB/f.u. The calculation puts the total energy at -7.16 eV/atom. Its calculated formation energy is -0.04 eV/atom.

The structure belongs to space group P4/mmm (No. 123); the cell edges are 3.103, 3.103 and 12.394 Å and the angles 90.00°, 90.00° and 90.00°. Symmetry generates all atoms from Zr at (0.000, 0.000, 0.000), Zr at (0.000, 0.000, 0.338), Ti at (0.500, 0.500, 0.170) and Zn at (0.500, 0.500, 0.500).



Compound: MgZnP2
Source: Alexandria via LeMat-Bulk
Functional: PBE
Structure: relaxed

For the volume, the calculation gives 68.57 Å³/f.u. Its total moment is 0.00 μB/f.u. The calculation puts the total energy at -3.58 eV/atom. Its calculated formation energy is -0.16 eV/atom. The energy above the most stable polymorph in this dataset is 0.000 eV/atom.

The structure belongs to space group Cm (No. 8); the cell edges are 10.629, 3.628 and 3.792 Å and the angles 90.00°, 110.33° and 90.00°. Symmetry generates all atoms from Mg at (0.000, 0.000, 0.000), Zn at (0.216, 0.500, 0.927), P at (0.263, 0.000, 0.488) and P at (0.468, 0.000, 0.467).



Compound: Pm2Ho15Tm2
Source: Alexandria via LeMat-Bulk
Functional: PBE
Structure: relaxed

For the volume, the calculation gives 623.05 Å³/f.u. Its total moment is 0.00 μB/f.u. The calculation puts the total energy at -4.28 eV/atom. Its calculated formation energy is 0.30 eV/atom.

The structure belongs to space group R-3m (No. 166, hexagonal axes); the cell edges are 11.0589, 11.0589 and 17.6479 Å and the angles 90.00°, 90.00° and 120.00°. Symmetry generates all atoms from Pm at (0.0000, 0.0000, 0.0973), Ho at (0.0000, 0.3027, 0.0000), Ho at (0.0000, 0.5000, 0.5000), Ho at (0.0156, 0.5078, 0.1351) and Tm at (0.0000, 0.0000, 0.3215).



Compound: HgSbTe2Cl
Source: Alexandria via LeMat-Bulk
Functional: PBE
Structure: relaxed

For the volume, the calculation gives 167.80 Å³/f.u. Its total moment is 0.63 μB/f.u. The calculation puts the total energy at -1.81 eV/atom. The energy above the most stable polymorph in this dataset is 0.071 eV/atom. For the uncorrected formation energy, the calculation gives 3.49 eV/f.u.

The structure belongs to space group P4/mmm (No. 123); the cell edges are 5.660, 5.660 and 5.239 Å and the angles 90.00°, 90.00° and 90.00°. Symmetry generates all atoms from Hg at (0.000, 0.000, 0.000), Sb at (0.500, 0.500, 0.000), Te at (0.000, 0.500, 0.500) and Cl at (0.500, 0.500, 0.500).



Compound: LaDy2In2
Source: Alexandria via LeMat-Bulk
Functional: PBE
Structure: relaxed

For the volume, the calculation gives 147.34 Å³/f.u. Its total moment is 0.00 μB/f.u. The calculation puts the total energy at -4.29 eV/atom. Its calculated formation energy is -0.37 eV/atom. The energy above the most stable polymorph in this dataset is 0.000 eV/atom.

The structure belongs to space group Cmcm (No. 63); the cell edges are 3.810, 28.194 and 5.487 Å and the angles 90.00°, 90.00° and 90.00°. Symmetry generates all atoms from La at (0.000, 0.147, 0.250), Dy at (0.000, 0.050, 0.750), Dy at (0.000, 0.236, 0.750), In at (0.000, 0.356, 0.250) and In at (0.000, 0.455, 0.750).



Compound: AcMgGaPb
Source: Alexandria via LeMat-Bulk
Functional: PBE
Structure: relaxed

For the volume, the calculation gives 114.10 Å³/f.u. Its total moment is 0.00 μB/f.u. The calculation puts the total energy at -3.39 eV/atom. Its calculated formation energy is -0.28 eV/atom.

The structure belongs to space group F-43m (No. 216); the cell edges are 7.699, 7.699 and 7.699 Å and the angles 90.00°, 90.00° and 90.00°. Symmetry generates all atoms from Ac at (0.000, 0.000, 0.000), Mg at (0.000, 0.000, 0.500), Ga at (0.250, 0.250, 0.250) and Pb at (0.250, 0.250, 0.750).